No. 1
## Li3As5 (PBE)

Data for crystalline Li3As5 at its relaxed geometry.

Results
ΔH_f (0 K) in meV/atom: -201

a b c (Å): 7.8158 8.1229 4.4072
angles (deg): 90.00 90.00 90.00
Last column: nearest neighbours and their distance in Å.
Space group Cmmm (No. 65)
Inequivalent atoms, fractional coordinates:
Li (0.0000, 0.0000, 0.0000) x2  8 As 2.82-2.92, 4 Li 3.05
Li (0.2308, 0.5000, 0.5000) x4  10 As 2.80-3.00, 2 Li 3.05
As (0.0000, 0.2368, 0.5000) x4  6 Li 2.80-2.92, 6 As 2.95-3.07
As (0.0000, 0.5000, 0.0000) x2  8 As 2.82-3.07, 4 Li 2.85
As (0.2500, 0.2500, 0.0000) x4  6 As 2.82-2.95, 6 Li 2.82-3.00



No. 2
## Y2MgPdC (PBE)

Data for crystalline Y2MgPdC at its relaxed geometry.

Results
ΔH_f (0 K) in meV/atom: -351

a b c (Å): 4.9058 4.9058 4.2433
angles (deg): 90.00 90.00 90.00
Last column: nearest neighbours and their distance in Å.
Space group P4/mmm (No. 123)
Inequivalent atoms, fractional coordinates:
Y (0.0000, 0.5000, 0.0000) x2  2 C 2.45
Mg (0.0000, 0.0000, 0.5000) x1  2 C 2.12
Pd (0.5000, 0.5000, 0.5000) x1  8 Y 3.24, 4 Mg 3.47
C (0.0000, 0.0000, 0.0000) x1  2 Mg 2.12



No. 3
## ZnIrOs (PBE)

Data for crystalline ZnIrOs at its relaxed geometry.

Results
ΔH_f (0 K) in meV/atom: 266

a b c (Å): 2.7386 4.7158 13.5991
angles (deg): 90.00 90.00 90.00
Last column: nearest neighbours and their distance in Å.
Space group Fmm2 (No. 42)
Inequivalent atoms, fractional coordinates:
Zn (0.0000, 0.0000, 0.0000) x4  2 Ir 2.62, 2 Os 2.66, 6 Zn 2.73-2.74
Ir (0.0000, 0.0000, 0.6646) x4  2 Zn 2.62, 2 Os 2.66, 6 Ir 2.73-2.74
Os (0.0000, 0.0000, 0.3322) x4  2 Ir 2.66, 2 Zn 2.66, 6 Os 2.73-2.74